# 1
Computed, not measured: crystalline SmGd2Tl at its relaxed geometry at the GGA-PBE level of DFT.

a = 3.5636 Å, b = 3.5636 Å, c = 36.5039 Å
α = 90.00°, β = 90.00°, γ = 120.00°
Closest atoms and distances in Å follow each position.
Space group R-3m (No. 166, hexagonal axes)
One atom of each set of equivalent atoms:
1 Sm 0.0000 0.0000 0.0000 x3  6 Gd 3.52, 6 Sm 3.56
2 Gd 0.0000 0.0000 0.4117 x6  1 Tl 3.22, 3 Sm 3.52, 6 Gd 3.56
3 Tl 0.0000 0.0000 0.5000 x3  2 Gd 3.22, 6 Tl 3.56

**Fermi-level density of states**: 13.9 states/eV/cell
**Excess energy over the best structure of this formula in the dataset**: 0.303 eV/atom
**Crystal system**: trigonal

# 2
Computed, not measured: crystalline SmGdTl2 at its relaxed geometry at the GGA-PBE level of DFT.

a = 3.8130 Å, b = 3.8130 Å, c = 7.8165 Å
α = 90.00°, β = 90.00°, γ = 90.00°
Closest atoms and distances in Å follow each position.
Space group P4/mmm (No. 123)
One atom of each set of equivalent atoms:
1 Sm 0.0000 0.0000 0.0000 x1  8 Tl 3.34
2 Gd 0.0000 0.0000 0.5000 x1  8 Tl 3.32
3 Tl 0.5000 0.5000 0.2521 x2  4 Gd 3.32, 4 Sm 3.34

**Fermi-level density of states**: 3.4 states/eV/cell
**Excess energy over the best structure of this formula in the dataset**: 0.000 eV/atom
**Crystal system**: tetragonal

# 3
Computed, not measured: crystalline SmGdTl2 at its relaxed geometry at the GGA-PBE level of DFT.

a = 3.8050 Å, b = 3.8050 Å, c = 29.2486 Å
α = 90.00°, β = 90.00°, γ = 120.00°
Closest atoms and distances in Å follow each position.
Space group R-3m (No. 166, hexagonal axes)
One atom of each set of equivalent atoms:
1 Sm 0.0000 0.0000 0.0000 x3  6 Tl 3.29
2 Gd 0.0000 0.0000 0.5000 x3  6 Tl 3.27
3 Tl 0.0000 0.0000 0.2494 x6  3 Gd 3.27, 3 Sm 3.29

**Fermi-level density of states**: 9.8 states/eV/cell
**Excess energy over the best structure of this formula in the dataset**: 0.118 eV/atom
**Crystal system**: trigonal

# 4
Computed, not measured: crystalline SmGdTl2 at its relaxed geometry at the GGA-PBE level of DFT.

a = 7.6994 Å, b = 7.6994 Å, c = 7.6994 Å
α = 90.00°, β = 90.00°, γ = 90.00°
Closest atoms and distances in Å follow each position.
Space group Fm-3m (No. 225)
One atom of each set of equivalent atoms:
1 Sm 0.0000 0.0000 0.0000 x4  8 Tl 3.33
2 Gd 0.0000 0.0000 0.5000 x4  8 Tl 3.33
3 Tl 0.2500 0.2500 0.2500 x8  4 Gd 3.33, 4 Sm 3.33

**Fermi-level density of states**: 13.4 states/eV/cell
**Excess energy over the best structure of this formula in the dataset**: 0.010 eV/atom
**Crystal system**: cubic

# 5
Computed, not measured: crystalline SmGd2Tl at its relaxed geometry at the GGA-PBE level of DFT.

a = 3.6431 Å, b = 3.6431 Å, c = 9.2883 Å
α = 90.00°, β = 90.00°, γ = 90.00°
Closest atoms and distances in Å follow each position.
Space group P4/mmm (No. 123)
One atom of each set of equivalent atoms:
1 Sm 0.0000 0.0000 0.0000 x1  8 Gd 3.61, 4 Sm 3.64
2 Gd 0.5000 0.5000 0.2719 x2  4 Tl 3.34, 4 Sm 3.61, 4 Gd 3.64
3 Tl 0.0000 0.0000 0.5000 x1  8 Gd 3.34, 4 Tl 3.64

**Fermi-level density of states**: 4.6 states/eV/cell
**Excess energy over the best structure of this formula in the dataset**: 0.043 eV/atom
**Crystal system**: tetragonal

# 6
Computed, not measured: crystalline SmGd2Tl at its relaxed geometry at the GGA-PBE level of DFT.

a = 7.8145 Å, b = 7.8145 Å, c = 7.8145 Å
α = 90.00°, β = 90.00°, γ = 90.00°
Closest atoms and distances in Å follow each position.
Space group Fm-3m (No. 225)
One atom of each set of equivalent atoms:
1 Sm 0.0000 0.0000 0.0000 x4  8 Gd 3.38
2 Gd 0.2500 0.2500 0.2500 x8  4 Tl 3.38, 4 Sm 3.38
3 Tl 0.0000 0.0000 0.5000 x4  8 Gd 3.38

**Fermi-level density of states**: 22.2 states/eV/cell
**Excess energy over the best structure of this formula in the dataset**: 0.156 eV/atom
**Crystal system**: cubic

# 7
Computed, not measured: crystalline SmGdYTl at its relaxed geometry at the GGA-PBE level of DFT.

a = 7.7899 Å, b = 7.7899 Å, c = 7.7899 Å
α = 90.00°, β = 90.00°, γ = 90.00°
Closest atoms and distances in Å follow each position.
Space group F-43m (No. 216)
One atom of each set of equivalent atoms:
1 Sm 0.0000 0.0000 0.0000 x4  4 Gd 3.37, 4 Tl 3.37
2 Gd 0.2500 0.2500 0.7500 x4  4 Sm 3.37, 4 Y 3.37
3 Y 0.0000 0.0000 0.5000 x4  4 Gd 3.37, 4 Tl 3.37
4 Tl 0.2500 0.2500 0.2500 x4  4 Y 3.37, 4 Sm 3.37

**Fermi-level density of states**: 25.2 states/eV/cell
**Crystal system**: cubic

# 8
Computed, not measured: crystalline SmGdTm2 at its relaxed geometry at the GGA-PBE level of DFT.

a = 5.0339 Å, b = 5.0339 Å, c = 4.9638 Å
α = 90.00°, β = 90.00°, γ = 90.00°
Closest atoms and distances in Å follow each position.
Space group P4/mmm (No. 123)
One atom of each set of equivalent atoms:
1 Sm 0.0000 0.0000 0.0000 x1  8 Tm 3.53, 4 Gd 3.56
2 Gd 0.5000 0.5000 0.0000 x1  8 Tm 3.53, 4 Sm 3.56
3 Tm 0.0000 0.5000 0.5000 x2  4 Gd 3.53, 4 Sm 3.53, 4 Tm 3.56

**Fermi-level density of states**: 6.5 states/eV/cell
**Excess energy over the best structure of this formula in the dataset**: 0.000 eV/atom
**Crystal system**: tetragonal

| no. | calculated formation energy (eV per atom) |
| --- | --- |
| 1 | 0.0811 |
| 2 | -0.3855 |
| 3 | -0.2679 |
| 4 | -0.3752 |
| 5 | -0.1789 |
| 6 | -0.0658 |
| 7 | -0.0772 |
| 8 | 0.0211 |